Entry 1:
Material: Cs2InReI6
Method: DFT, GGA-PBE
State: relaxed

Values from the calculation:
VASP energy	-3.209	eV per atom
density of states at the Fermi level	26.69	states/eV per cell
M_tot	2.000	μB/f.u.

Cell lengths 12.1105, 12.1105, 12.1105 Å; angles 90.00, 90.00, 90.00 degrees
Space group Fm-3m (No. 225)
Symmetry-distinct sites (fractional):
Cs1 0.2500 0.2500 0.2500
In1 0.0000 0.0000 0.0000
Re1 0.0000 0.0000 0.5000
I1 0.0000 0.0000 0.2720



Entry 2:
Material: CsInRhI2
Method: DFT, GGA-PBE
State: relaxed

Values from the calculation:
VASP energy	-2.240	eV per atom
density of states at the Fermi level	1.90	states/eV per cell
M_tot	2.693	μB/f.u.

Cell lengths 6.1759, 6.1759, 7.4350 Å; angles 90.00, 90.00, 90.00 degrees
Space group P4/mmm (No. 123)
Symmetry-distinct sites (fractional):
Cs1 0.0000 0.0000 0.0000
In1 0.0000 0.0000 0.5000
Rh1 0.5000 0.5000 0.0000
I1 0.0000 0.5000 0.5000



Entry 3:
Material: Cs2InSbI6
Method: DFT, GGA-PBE
State: relaxed

Values from the calculation:
VASP energy	-2.666	eV per atom
M_tot	0.000	μB/f.u.

Cell lengths 8.9478, 8.9478, 21.3942 Å; angles 90.00, 90.00, 120.00 degrees
Space group R3 (No. 146, hexagonal axes)
Symmetry-distinct sites (fractional):
Cs1 0.0000 0.0000 0.0000
Cs2 0.0000 0.0000 0.4964
In1 0.0000 0.0000 0.7465
Sb1 0.0000 0.0000 0.2465
I1 0.0152 0.4586 0.9949
I2 0.1255 0.7772 0.8315



Entry 4:
Material: CsInSbI2
Method: DFT, GGA-PBE
State: relaxed

Values from the calculation:
VASP energy	-1.998	eV per atom
M_tot	3.059	μB/f.u.

Cell lengths 7.2199, 7.2199, 7.1092 Å; angles 90.00, 90.00, 90.00 degrees
Space group P4/mmm (No. 123)
Symmetry-distinct sites (fractional):
Cs1 0.0000 0.0000 0.0000
In1 0.5000 0.5000 0.5000
Sb1 0.0000 0.0000 0.5000
I1 0.0000 0.5000 0.0000



Entry 5:
Material: CsInSb2I
Method: DFT, GGA-PBE
State: relaxed

Values from the calculation:
VASP energy	-2.735	eV per atom
density of states at the Fermi level	3.85	states/eV per cell
M_tot	1.164	μB/f.u.

Cell lengths 5.6963, 5.6963, 6.8888 Å; angles 90.00, 90.00, 90.00 degrees
Space group P4/mmm (No. 123)
Symmetry-distinct sites (fractional):
Cs1 0.0000 0.0000 0.0000
In1 0.5000 0.5000 0.5000
Sb1 0.0000 0.5000 0.5000
I1 0.5000 0.5000 0.0000



Entry 6:
Material: CsInSb2I
Method: DFT, GGA-PBE
State: relaxed

Values from the calculation:
VASP energy	-1.876	eV per atom
density of states at the Fermi level	4.17	states/eV per cell
M_tot	2.388	μB/f.u.

Cell lengths 6.5267, 6.5267, 6.9816 Å; angles 90.00, 90.00, 90.00 degrees
Space group P4/mmm (No. 123)
Symmetry-distinct sites (fractional):
Cs1 0.0000 0.0000 0.0000
In1 0.5000 0.5000 0.5000
Sb1 0.0000 0.5000 0.0000
I1 0.0000 0.0000 0.5000



Entry 7:
Material: CsInSbI2
Method: DFT, GGA-PBE
State: relaxed

Values from the calculation:
VASP energy	-2.612	eV per atom
density of states at the Fermi level	1.30	states/eV per cell
M_tot	1.745	μB/f.u.

Cell lengths 6.3982, 6.3982, 5.7917 Å; angles 90.00, 90.00, 90.00 degrees
Space group P4/mmm (No. 123)
Symmetry-distinct sites (fractional):
Cs1 0.0000 0.0000 0.0000
In1 0.5000 0.5000 0.5000
Sb1 0.5000 0.5000 0.0000
I1 0.0000 0.5000 0.5000



Entry 8:
Material: Cs2ScInI6
Method: DFT, GGA-PBE
State: relaxed

Values from the calculation:
VASP energy	-3.220	eV per atom
density of states at the Fermi level	0.00	states/eV per cell
M_tot	0.000	μB/f.u.

Cell lengths 12.4737, 12.4737, 12.4737 Å; angles 90.00, 90.00, 90.00 degrees
Space group Fm-3m (No. 225)
Symmetry-distinct sites (fractional):
Cs1 0.2500 0.2500 0.2500
Sc1 0.0000 0.0000 0.0000
In1 0.0000 0.0000 0.5000
I1 0.0000 0.0000 0.2327



Entry 9:
Material: CsScInI6
Method: DFT, GGA-PBE
State: relaxed

Values from the calculation:
VASP energy	-3.163	eV per atom
density of states at the Fermi level	5.54	states/eV per cell
M_tot	0.000	μB/f.u.

Cell lengths 7.9391, 7.9391, 8.3879 Å; angles 90.00, 90.00, 120.00 degrees
Space group P312 (No. 149)
Symmetry-distinct sites (fractional):
Cs1 0.0000 0.0000 0.0000
Sc1 0.6667 0.3333 0.5000
In1 0.3333 0.6667 0.5000
I1 0.3935 0.0210 0.7072



Entry 10:
Material: Cs2InSeI6
Method: DFT, GGA-PBE
State: relaxed

Values from the calculation:
VASP energy	-2.463	eV per atom
density of states at the Fermi level	9.46	states/eV per cell
M_tot	0.000	μB/f.u.

Cell lengths 8.6943, 8.6943, 12.0304 Å; angles 90.00, 90.00, 90.00 degrees
Space group I4/mmm (No. 139)
Symmetry-distinct sites (fractional):
Cs1 0.0000 0.5000 0.2500
In1 0.0000 0.0000 0.0000
Se1 0.0000 0.0000 0.5000
I1 0.0000 0.0000 0.2675
I2 0.2393 0.2393 0.0000



Entry 11:
Material: Cs2InSiI6
Method: DFT, GGA-PBE
State: relaxed

Values from the calculation:
VASP energy	-2.711	eV per atom
density of states at the Fermi level	6.90	states/eV per cell
M_tot	0.000	μB/f.u.

Cell lengths 8.5300, 8.5300, 12.0271 Å; angles 90.00, 90.00, 90.00 degrees
Space group I4/mmm (No. 139)
Symmetry-distinct sites (fractional):
Cs1 0.0000 0.5000 0.2500
In1 0.0000 0.0000 0.0000
Si1 0.0000 0.0000 0.5000
I1 0.0000 0.0000 0.2601
I2 0.2399 0.2399 0.5000



Entry 12:
Material: Cs3SmIn2I9
Method: DFT, GGA-PBE
State: relaxed

Values from the calculation:
VASP energy	-2.926	eV per atom
density of states at the Fermi level	3.17	states/eV per cell
M_tot	0.000	μB/f.u.

Cell lengths 8.9559, 8.9559, 10.9870 Å; angles 90.00, 90.00, 120.00 degrees
Space group P-3m1 (No. 164)
Symmetry-distinct sites (fractional):
Cs1 0.0000 0.0000 0.0000
Cs2 0.3333 0.6667 0.6668
Sm1 0.0000 0.0000 0.5000
In1 0.3333 0.6667 0.1504
I1 0.0000 0.5000 0.0000
I2 0.1636 0.3272 0.3402



Entry 13:
Material: Cs2SmInI6
Method: DFT, GGA-PBE
State: relaxed

Values from the calculation:
VASP energy	-3.151	eV per atom
density of states at the Fermi level	0.00	states/eV per cell
M_tot	0.000	μB/f.u.

Cell lengths 8.7521, 9.2558, 15.3709 Å; angles 90.00, 124.36, 90.00 degrees
Space group P2_1/c (No. 14)
Symmetry-distinct sites (fractional):
Cs1 0.2246 0.0748 0.2504
Sm1 0.5000 0.0000 0.0000
In1 0.0000 0.0000 0.5000
I1 0.1670 0.1846 0.9564
I2 0.2745 0.7174 0.9560
I3 0.3523 0.0168 0.7637



Entry 14:
Material: Cs2InSnI6
Method: DFT, GGA-PBE
State: relaxed

Values from the calculation:
VASP energy	-2.696	eV per atom
density of states at the Fermi level	7.75	states/eV per cell
M_tot	0.000	μB/f.u.

Cell lengths 8.8066, 8.8066, 12.4120 Å; angles 90.00, 90.00, 90.00 degrees
Space group I4/mmm (No. 139)
Symmetry-distinct sites (fractional):
Cs1 0.0000 0.5000 0.2500
In1 0.0000 0.0000 0.0000
Sn1 0.0000 0.0000 0.5000
I1 0.0000 0.0000 0.2493
I2 0.2495 0.2495 0.0000



Entry 15:
Material: Cs3InSn2I9
Method: DFT, GGA-PBE
State: relaxed

Values from the calculation:
VASP energy	-2.740	eV per atom
density of states at the Fermi level	4.09	states/eV per cell
M_tot	0.000	μB/f.u.

Cell lengths 8.8217, 8.8217, 10.8058 Å; angles 90.00, 90.00, 120.00 degrees
Space group P-3m1 (No. 164)
Symmetry-distinct sites (fractional):
Cs1 0.0000 0.0000 0.0000
Cs2 0.3333 0.6667 0.6683
In1 0.0000 0.0000 0.5000
Sn1 0.3333 0.6667 0.1703
I1 0.0000 0.5000 0.0000
I2 0.1661 0.3321 0.3323



Entry 16:
Material: Cs4In3SnI8
Method: DFT, GGA-PBE
State: relaxed

Values from the calculation:
VASP energy	-2.646	eV per atom
density of states at the Fermi level	0.75	states/eV per cell
M_tot	1.005	μB/f.u.

Cell lengths 17.8490, 10.2896, 10.4568 Å; angles 90.00, 120.91, 90.00 degrees
Space group C2/m (No. 12)
Symmetry-distinct sites (fractional):
Cs1 0.0000 0.0000 0.0000
Cs2 0.0000 0.5000 0.0000
Cs3 0.2500 0.2500 0.5000
In1 0.0000 0.0000 0.5000
In2 0.2500 0.2500 0.0000
Sn1 0.0000 0.5000 0.5000
I1 0.0124 0.2652 0.7279
I2 0.2398 0.0000 0.2157
I3 0.2399 0.0000 0.7584



Entry 17:
Material: CsInSnI6
Method: DFT, GGA-PBE
State: relaxed

Values from the calculation:
VASP energy	-2.598	eV per atom
M_tot	0.000	μB/f.u.

Cell lengths 8.0356, 13.9362, 8.5387 Å; angles 90.00, 90.05, 90.00 degrees
Space group C2 (No. 5)
Symmetry-distinct sites (fractional):
Cs1 0.0000 0.0000 0.0000
In1 0.0000 0.6666 0.5000
Sn1 0.0000 0.3335 0.5000
I1 0.1296 0.5116 0.2950
I2 0.1676 0.8090 0.2950
I3 0.2018 0.1794 0.2953



Entry 18:
Material: Cs2InSnI5
Method: DFT, GGA-PBE
State: relaxed

Values from the calculation:
VASP energy	-2.741	eV per atom
density of states at the Fermi level	0.00	states/eV per cell
M_tot	0.000	μB/f.u.

Cell lengths 4.9558, 21.6846, 17.3762 Å; angles 90.00, 90.00, 90.00 degrees
Space group Cmc2_1 (No. 36)
Symmetry-distinct sites (fractional):
Cs1 0.0000 0.0881 0.0000
Cs2 0.0000 0.1387 0.6469
In1 0.0000 0.4619 0.8014
Sn1 0.0000 0.2223 0.3750
I1 0.0000 0.0822 0.4226
I2 0.0000 0.2634 0.0000
I3 0.0000 0.3046 0.7563
I4 0.0000 0.3675 0.3326
I5 0.0000 0.4973 0.1183



Entry 19:
Material: CsSrInI4
Method: DFT, GGA-PBE
State: relaxed

Values from the calculation:
VASP energy	-2.874	eV per atom
density of states at the Fermi level	0.00	states/eV per cell
M_tot	0.000	μB/f.u.

Cell lengths 6.4377, 6.4377, 18.6250 Å; angles 90.00, 90.00, 90.00 degrees
Space group I4mm (No. 107)
Symmetry-distinct sites (fractional):
Cs1 0.0000 0.0000 0.0000
Sr1 0.0000 0.0000 0.3679
In1 0.0000 0.0000 0.7182
I1 0.0000 0.0000 0.1973
I2 0.0000 0.0000 0.5492
I3 0.0000 0.5000 0.3707



Entry 20:
Material: CsSrIn2I8
Method: DFT, GGA-PBE
State: relaxed

Values from the calculation:
VASP energy	-2.610	eV per atom
density of states at the Fermi level	8.55	states/eV per cell
M_tot	0.011	μB/f.u.

Cell lengths 7.8816, 7.8816, 11.3961 Å; angles 90.00, 90.00, 120.00 degrees
Space group P-3 (No. 147)
Symmetry-distinct sites (fractional):
Cs1 0.0000 0.0000 0.0000
Sr1 0.0000 0.0000 0.5000
In1 0.3333 0.6667 0.7502
I1 0.0231 0.6838 0.3197
I2 0.3333 0.6667 0.9964



Entry 21:
Material: CsSr2InI8
Method: DFT, GGA-PBE
State: relaxed

Values from the calculation:
VASP energy	-2.805	eV per atom
M_tot	0.000	μB/f.u.

Cell lengths 7.4713, 7.7123, 10.2767 Å; angles 89.94, 89.92, 89.07 degrees
Space group P-1 (No. 2)
Symmetry-distinct sites (fractional):
Cs1 0.0000 0.0000 0.0000
Sr1 0.4997 0.5001 0.2574
In1 0.0000 0.0000 0.5000
I1 0.2368 0.8543 0.7001
I2 0.2380 0.8557 0.2997
I3 0.2405 0.3331 0.5004
I4 0.2616 0.3986 0.0002



Entry 22:
Material: Cs2SrInI5
Method: DFT, GGA-PBE
State: relaxed

Values from the calculation:
VASP energy	-2.889	eV per atom
density of states at the Fermi level	0.00	states/eV per cell
M_tot	0.000	μB/f.u.

Cell lengths 5.0791, 21.9646, 17.3220 Å; angles 90.00, 90.00, 90.00 degrees
Space group Cmc2_1 (No. 36)
Symmetry-distinct sites (fractional):
Cs1 0.0000 0.0858 0.0000
Cs2 0.0000 0.1358 0.6459
Sr1 0.0000 0.2244 0.3740
In1 0.0000 0.4564 0.7983
I1 0.0000 0.0805 0.4191
I2 0.0000 0.2614 0.0027
I3 0.0000 0.3030 0.7516
I4 0.0000 0.3702 0.3328
I5 0.0000 0.4960 0.1158